# Ge2OsRh2 PBE relaxed
data_Ge2OsRh2
_space_group_name_H-M_alt 'P 4/m b m'
_space_group_IT_number 127
_space_group_name_Hall '-P 4 2ab'
_cell_length_a 7.183
_cell_length_b 7.183
_cell_length_c 2.822
_cell_angle_alpha 90.00
_cell_angle_beta 90.00
_cell_angle_gamma 90.00
loop_
_atom_site_label
_atom_site_fract_x
_atom_site_fract_y
_atom_site_fract_z
Ge1 0.156 0.344 0.000
Os1 0.000 0.000 0.000
Rh1 0.144 0.644 0.500
# calculated total energy = -70.56 eV/cell
# formation energy from the elements = -0.023 eV per atom
# magnetization = 0.36 μB/f.u.

***

# UCrRe2 PBE relaxed
data_UCrRe2
_space_group_name_H-M_alt 'R -3 m'
_space_group_IT_number 166
_space_group_name_Hall '-R 3 2"'
_cell_length_a 2.7810
_cell_length_b 2.7810
_cell_length_c 28.4664
_cell_angle_alpha 90.00
_cell_angle_beta 90.00
_cell_angle_gamma 120.00
loop_
_atom_site_label
_atom_site_fract_x
_atom_site_fract_y
_atom_site_fract_z
U1 0.0000 0.0000 0.0000
Cr1 0.0000 0.0000 0.5000
Re1 0.0000 0.0000 0.2383
# relative energy among the computed polymorphs = 176 meV/atom
# calculated total energy = -134.24 eV/cell
# formation energy from the elements = 0.265 eV per atom
# magnetization = 0.00 μB/f.u.

***

# Pm2Sm3Ge2 PBE relaxed
data_Pm2Sm3Ge2
_space_group_name_H-M_alt 'C 1 2/m 1'
_space_group_IT_number 12
_cell_length_a 11.948
_cell_length_b 4.275
_cell_length_c 8.539
_cell_angle_alpha 90.00
_cell_angle_beta 110.83
_cell_angle_gamma 90.00
loop_
_space_group_symop_operation_xyz
'x,y,z'
'-x,-y,-z'
'-x,y,-z'
'x,-y,z'
'x+1/2,y+1/2,z'
'-x+1/2,-y+1/2,-z'
'-x+1/2,y+1/2,-z'
'x+1/2,-y+1/2,z'
loop_
_atom_site_label
_atom_site_fract_x
_atom_site_fract_y
_atom_site_fract_z
Pm1 0.150 0.000 0.304
Sm1 0.000 0.500 0.500
Sm2 0.130 0.500 0.941
Ge1 0.171 0.000 0.702
# calculated total energy = -73.07 eV/cell
# formation energy from the elements = -0.520 eV per atom
# magnetization = 0.00 μB/f.u.